First-principles (PBE) data for a relaxed structure of Ba6Ge2HN, as listed in the Alexandria database.

space-group type = P2_1/c (14)
E_tot = -75.03 eV per cell

abc: 7.6800 7.9793 11.0565
angles: 90.00 89.99 90.00
Element x y z (fractional)
Ba 0.2882 0.6916 0.0490
Ba 0.7882 0.8084 0.5490
Ba 0.7118 0.3084 0.9510
Ba 0.2118 0.1916 0.4510
Ba 0.3092 0.7105 0.4543
Ba 0.8092 0.7895 0.9543
Ba 0.6908 0.2895 0.5457
Ba 0.1908 0.2105 0.0457
Ba 0.9100 0.5243 0.2401
Ba 0.4100 0.9757 0.7401
Ba 0.0900 0.4757 0.7599
Ba 0.5900 0.0243 0.2599
Ge 0.0184 0.9432 0.2482
Ge 0.5184 0.5568 0.7482
Ge 0.9816 0.0568 0.7518
Ge 0.4816 0.4432 0.2518
H 0.5000 0.0000 0.0000
H 0.0000 0.5000 0.5000
N 0.5000 0.0000 0.5000
N 0.0000 0.5000 0.0000